Material: LaTi2Tc2
Method: DFT, meta-GGA SCAN
State: PBEsol geometry

a = 4.1279 Å, b = 4.1279 Å, c = 11.2680 Å
α = 90.00°, β = 90.00°, γ = 90.00°
Space group I4/mmm (No. 139)
Symmetry-distinct sites (fractional):
La: 0.0000 0.0000 0.0000
Ti: 0.0000 0.5000 0.2500
Tc: 0.0000 0.0000 0.3845

Values from the calculation:
Its energy relative to the elements is -0.73 eV/f.u. The density of states at the Fermi level comes out at 5.943 states/eV per cell.

=====

Material: YScMo2
Method: DFT, meta-GGA SCAN
State: PBEsol geometry

a = 3.9746 Å, b = 3.9746 Å, c = 4.7857 Å
α = 90.00°, β = 90.00°, γ = 90.00°
Space group P4/mmm (No. 123)
Symmetry-distinct sites (fractional):
Y: 0.0000 0.0000 0.0000
Sc: 0.5000 0.5000 0.0000
Mo: 0.0000 0.5000 0.5000

Values from the calculation:
Its energy relative to the elements is 1.98 eV/f.u. The calculation puts the energy above the most stable polymorph in this dataset at 410.1 meV/atom. The density of states at the Fermi level comes out at 4.697 states/eV per cell.

=====

Material: ZnPd2Br
Method: DFT, meta-GGA SCAN
State: PBEsol geometry

a = 6.3295 Å, b = 6.3295 Å, c = 6.3295 Å
α = 90.00°, β = 90.00°, γ = 90.00°
Space group Fm-3m (No. 225)
Symmetry-distinct sites (fractional):
Zn: 0.0000 0.0000 0.0000
Pd: 0.2500 0.2500 0.2500
Br: 0.0000 0.0000 0.5000

Values from the calculation:
The calculation puts the energy relative to the elements, uncorrected at 0.3 eV per formula unit. The density of states at the Fermi level comes out at 6.455 states/eV per cell.

=====

Material: TaMo
Method: DFT, meta-GGA SCAN
State: PBEsol geometry

a = 6.4184 Å, b = 9.0138 Å, c = 4.5103 Å
α = 90.00°, β = 90.00°, γ = 90.00°
Space group Cccm (No. 66)
Symmetry-distinct sites (fractional):
Ta: 0.1294 0.1239 0.0000
Mo: 0.1210 0.3743 0.5000

Values from the calculation:
Its energy relative to the elements is -0.24 eV/f.u. The density of states at the Fermi level comes out at 9.784 states/eV per cell.

=====

Material: Sc2BOs
Method: DFT, meta-GGA SCAN
State: PBEsol geometry

a = 3.0465 Å, b = 3.0465 Å, c = 26.5928 Å
α = 90.00°, β = 90.00°, γ = 120.00°
Space group R-3m (No. 166, hexagonal axes)
Symmetry-distinct sites (fractional):
Sc: 0.0000 0.0000 0.0911
B: 0.0000 0.0000 0.0000
Os: 0.0000 0.0000 0.5000

Values from the calculation:
Its energy relative to the elements is 3.17 eV/f.u. The density of states at the Fermi level comes out at 9.861 states/eV per cell.

=====

Material: SbH2
Method: DFT, meta-GGA SCAN
State: PBEsol geometry

a = 3.0847 Å, b = 3.0847 Å, c = 19.3125 Å
α = 90.00°, β = 90.00°, γ = 90.00°
Space group I4/mmm (No. 139)
Symmetry-distinct sites (fractional):
Sb: 0.0000 0.0000 0.0724
H: 0.0000 0.0000 0.2747
H: 0.0000 0.0000 0.3144

Values from the calculation:
As for the uncorrected energy: -14.6466 eV per atom. The density of states at the Fermi level comes out at 1.933 states/eV per cell.

=====

Material: NaMoCO2
Method: DFT, meta-GGA SCAN
State: PBEsol geometry

a = 3.8820 Å, b = 3.8820 Å, c = 4.0497 Å
α = 90.00°, β = 90.00°, γ = 90.00°
Space group P4/mmm (No. 123)
Symmetry-distinct sites (fractional):
Na: 0.0000 0.0000 0.0000
Mo: 0.5000 0.5000 0.5000
C: 0.5000 0.5000 0.0000
O: 0.0000 0.5000 0.5000

Values from the calculation:
The calculation puts the energy relative to the elements, uncorrected at -3.8 eV per formula unit. The density of states at the Fermi level comes out at 1.183 states/eV per cell.

=====

Material: Cd4InSi
Method: DFT, meta-GGA SCAN
State: PBEsol geometry

a = 8.0816 Å, b = 8.0816 Å, c = 8.0816 Å
α = 90.00°, β = 90.00°, γ = 90.00°
Space group F-43m (No. 216)
Symmetry-distinct sites (fractional):
Cd: 0.1247 0.1247 0.1247
In: 0.0000 0.0000 0.5000
Si: 0.2500 0.2500 0.7500

Values from the calculation:
The calculation puts the energy relative to the elements, uncorrected at 2.2 eV per formula unit. The density of states at the Fermi level comes out at 9.913 states/eV per cell.

=====

Material: HoCo4Ni
Method: DFT, meta-GGA SCAN
State: PBEsol geometry

a = 4.7972 Å, b = 4.7972 Å, c = 3.9023 Å
α = 90.00°, β = 90.00°, γ = 120.00°
Space group P-6m2 (No. 187)
Symmetry-distinct sites (fractional):
Ho: 0.0000 0.0000 0.0000
Co: 0.3333 0.6667 0.0000
Co: 0.5004 0.0007 0.5000
Ni: 0.6667 0.3333 0.0000

Values from the calculation:
Its energy relative to the elements is -0.76 eV/f.u. The density of states at the Fermi level comes out at 4.335 states/eV per cell.

=====

Material: ZnCrRh
Method: DFT, meta-GGA SCAN
State: PBEsol geometry

a = 5.7247 Å, b = 5.7247 Å, c = 5.7247 Å
α = 90.00°, β = 90.00°, γ = 90.00°
Space group F-43m (No. 216)
Symmetry-distinct sites (fractional):
Zn: 0.0000 0.0000 0.0000
Cr: 0.2500 0.2500 0.7500
Rh: 0.2500 0.2500 0.2500

Values from the calculation:
Its energy relative to the elements is 0.67 eV/f.u. The calculation puts the energy above the most stable polymorph in this dataset at 0.0 meV/atom. The density of states at the Fermi level comes out at 8.891 states/eV per cell.

=====

Material: HgPSe2N
Method: DFT, meta-GGA SCAN
State: PBEsol geometry

a = 5.2353 Å, b = 5.2353 Å, c = 3.9692 Å
α = 90.00°, β = 90.00°, γ = 90.00°
Space group P4/mmm (No. 123)
Symmetry-distinct sites (fractional):
Hg: 0.0000 0.0000 0.0000
P: 0.5000 0.5000 0.5000
Se: 0.0000 0.5000 0.0000
N: 0.0000 0.0000 0.5000

Values from the calculation:
The calculation puts the energy relative to the elements, uncorrected at 8.0 eV per formula unit. The density of states at the Fermi level comes out at 2.629 states/eV per cell.

=====

Material: SrBe2Os
Method: DFT, meta-GGA SCAN
State: PBEsol geometry

a = 3.9969 Å, b = 5.1653 Å, c = 6.5481 Å
α = 90.00°, β = 90.00°, γ = 90.00°
Space group Immm (No. 71)
Symmetry-distinct sites (fractional):
Sr: 0.0000 0.0000 0.0000
Be: 0.0000 0.5000 0.1735
Os: 0.0000 0.0000 0.5000

Values from the calculation:
Its energy relative to the elements is 2.25 eV/f.u. The density of states at the Fermi level comes out at 2.719 states/eV per cell.